1.
Density functional theory data (PBE) for TmScPa2 after structural relaxation.

Geometry as POSCAR:
```
TmScPa2
1.0
-1.364 1.708 -2.418
-3.143 -0.448 -0.741
-4.342 8.381 6.173
Pa Tm Sc
2 1 1
direct
0.252 0.252 0.245 Pa
0.082 0.082 0.755 Pa
0.500 0.500 0.501 Tm
0.667 0.667 0.998 Sc
```

Summary:
SG: R3m (160)
Calculated formation energy: 0.12 eV per atom
Energy above the lowest structure with this stoichiometry: 0 meV per atom

=====

2.
Density functional theory data (PBE) for Tm2ScPa after structural relaxation.

Geometry as POSCAR:
```
Tm2ScPa
1.0
3.251 0.000 0.000
1.626 2.816 0.000
1.626 0.939 11.797
Sc Tm Pa
1 2 1
direct
0.500 0.500 0.500 Sc
0.910 0.910 0.269 Tm
0.090 0.090 0.731 Tm
0.000 0.000 0.000 Pa
```

Summary:
SG: R-3m (166)
Calculated formation energy: 0.24 eV per atom
Energy above the lowest structure with this stoichiometry: 120 meV per atom

=====

3.
Density functional theory data (PBE) for TmScPa after structural relaxation.

Geometry as POSCAR:
```
TmScPa
1.0
5.024 0.000 0.000
2.512 4.351 0.000
2.512 1.450 8.259
Pa Tm Sc
2 2 2
direct
0.159 0.159 0.523 Pa
0.841 0.841 0.477 Pa
0.708 0.708 0.875 Tm
0.292 0.292 0.125 Tm
0.439 0.439 0.684 Sc
0.561 0.561 0.316 Sc
```

Summary:
SG: R-3m (166)
Calculated formation energy: 0.45 eV per atom
Energy above the lowest structure with this stoichiometry: 379 meV per atom

=====

4.
Density functional theory data (PBE) for Tm2ScPa after structural relaxation.

Geometry as POSCAR:
```
Tm2ScPa
1.0
3.316 0.000 0.000
0.000 3.316 0.000
0.000 0.000 9.900
Tm Sc Pa
2 1 1
direct
0.000 0.000 0.246 Tm
0.000 0.000 0.754 Tm
0.500 0.500 0.500 Sc
0.500 0.500 0.000 Pa
```

Summary:
SG: P4/mmm (123)
Calculated formation energy: 0.12 eV per atom
Energy above the lowest structure with this stoichiometry: 0 meV per atom

=====

no.,theoretical density (Mg/m³)
1,10.967
2,9.439
3,8.184
4,9.366